NbAlTeI2, relaxed, DFT PBE; formation energy from raw total energies = 210 meV/atom; polymorph energy (0 for the lowest one) = 0.00 eV per formula unit
1.0
5.791 0.000 0.000
0.000 5.791 0.000
0.000 0.000 5.416
Nb Al Te I
1 1 1 2
direct
0.000 0.000 0.000
0.500 0.500 0.500
0.000 0.000 0.500
0.000 0.500 0.000
0.500 0.000 0.000

=====

Nd7Co2Hg2, relaxed, DFT PBE; polymorph energy (0 for the lowest one) = 0.00 eV per formula unit
1.0
-1.875 8.278 5.030
1.875 -8.278 5.030
1.875 8.278 -5.030
Nd Co Hg
7 2 2
direct
0.000 0.000 0.000
0.068 0.384 0.684
0.083 0.730 0.353
0.377 0.730 0.647
0.445 0.581 0.864
0.699 0.384 0.316
0.717 0.581 0.136
0.312 0.077 0.235
0.841 0.077 0.765
0.340 0.340 0.000
0.736 0.236 0.500

=====

BaTaSe3, relaxed, DFT PBE; formation energy from raw total energies = -1214 meV/atom
1.0
8.910 0.000 0.000
0.000 6.416 0.000
-4.536 0.000 11.824
Ba Ta Se
4 4 12
direct
0.206 0.209 0.228
0.206 0.291 0.728
0.794 0.709 0.272
0.794 0.791 0.772
0.440 0.708 0.453
0.440 0.792 0.953
0.560 0.208 0.047
0.560 0.292 0.547
0.171 0.696 0.296
0.171 0.804 0.796
0.314 0.074 0.510
0.314 0.426 0.010
0.443 0.575 0.638
0.443 0.925 0.138
0.557 0.075 0.862
0.557 0.425 0.362
0.686 0.574 0.990
0.686 0.926 0.490
0.829 0.196 0.204
0.829 0.304 0.704

=====

LiNiS2Cl, relaxed, DFT PBE; formation energy from raw total energies = -240 meV/atom; polymorph energy (0 for the lowest one) = 0.00 eV per formula unit
1.0
4.220 0.000 0.000
0.000 4.220 0.000
0.000 0.000 6.765
Li Ni S Cl
1 1 2 1
direct
0.000 0.000 0.000
0.500 0.500 0.500
0.000 0.500 0.500
0.500 0.000 0.500
0.500 0.500 0.000

=====

A relaxed structure of TbSmZrSc, computed with PBE.

The structure in POSCAR format:
```
TbSmZrSc
1.0
7.630 0.000 0.000
0.000 7.630 0.000
0.000 0.000 7.630
Tb Sm Zr Sc
4 4 4 4
direct
0.000 0.000 0.000
0.000 0.500 0.500
0.500 0.000 0.500
0.500 0.500 0.000
0.250 0.250 0.750
0.250 0.750 0.250
0.750 0.250 0.250
0.750 0.750 0.750
0.250 0.250 0.250
0.250 0.750 0.750
0.750 0.250 0.750
0.750 0.750 0.250
0.000 0.000 0.500
0.000 0.500 0.000
0.500 0.000 0.000
0.500 0.500 0.500
```

=====

Pm3ErIn3, relaxed, DFT PBE; polymorph energy (0 for the lowest one) = 0.35 eV per formula unit
1.0
4.107 -5.329 0.000
4.107 5.329 0.000
-0.286 0.000 9.798
Pm Er In
6 2 6
direct
0.181 0.819 0.000
0.234 0.766 0.500
0.408 0.408 0.182
0.592 0.592 0.818
0.766 0.234 0.500
0.819 0.181 0.000
0.283 0.283 0.539
0.717 0.717 0.461
0.023 0.023 0.268
0.050 0.481 0.759
0.481 0.050 0.759
0.519 0.950 0.241
0.950 0.519 0.241
0.977 0.977 0.732

=====

CeNd2Tm3Te6, relaxed, DFT PBE; formation energy from raw total energies = -1299 meV/atom
1.0
9.694 -2.163 0.000
9.694 2.163 0.000
-2.444 0.000 8.622
Ce Nd Tm Te
1 2 3 6
direct
0.000 0.000 0.000
0.334 0.334 0.667
0.666 0.666 0.333
0.000 0.000 0.500
0.332 0.332 0.165
0.668 0.668 0.835
0.163 0.163 0.593
0.170 0.170 0.074
0.496 0.496 0.259
0.504 0.504 0.741
0.830 0.830 0.926
0.837 0.837 0.407

=====

A relaxed structure of CoTc4Ag, computed with PBE.

The structure in POSCAR format:
```
CoTc4Ag
1.0
0.000 3.606 3.606
3.606 0.000 3.606
3.606 3.606 0.000
Co Tc Ag
1 4 1
direct
0.000 0.000 0.000
0.125 0.625 0.625
0.625 0.125 0.625
0.625 0.625 0.125
0.625 0.625 0.625
0.250 0.250 0.250
```

=====

A relaxed structure of Ce3Co2Ge6Rh, computed with PBE.

The structure in POSCAR format:
```
Ce3Co2Ge6Rh
1.0
6.218 0.000 0.000
-3.109 5.385 0.000
0.000 0.000 7.049
Ce Co Ge Rh
3 2 6 1
direct
0.000 0.000 0.000
0.333 0.667 0.718
0.667 0.333 0.282
0.333 0.667 0.016
0.667 0.333 0.984
0.194 0.388 0.301
0.194 0.806 0.301
0.388 0.194 0.699
0.612 0.806 0.301
0.806 0.194 0.699
0.806 0.612 0.699
0.000 0.000 0.500
```

=====

A relaxed structure of LaY2ScPd, computed with PBE.

The structure in POSCAR format:
```
LaY2ScPd
1.0
5.469 0.000 0.000
0.000 5.469 0.000
0.000 0.000 5.264
La Y Sc Pd
1 2 1 1
direct
0.000 0.000 0.000
0.000 0.500 0.500
0.500 0.000 0.500
0.500 0.500 0.000
0.500 0.500 0.500
```

=====

InCuTc, relaxed, DFT PBE; polymorph energy (0 for the lowest one) = 0.00 eV per formula unit
1.0
2.836 0.000 0.000
0.000 3.476 0.000
0.000 0.000 9.688
In Cu Tc
2 2 2
direct
0.000 0.000 0.000
0.500 0.500 0.500
0.000 0.000 0.330
0.500 0.500 0.830
0.000 0.000 0.687
0.500 0.500 0.187

=====

A relaxed structure of Cs2GaAsC, computed with PBE.

The structure in POSCAR format:
```
Cs2GaAsC
1.0
7.166 0.000 0.000
0.000 7.166 0.000
0.000 0.000 4.885
Cs Ga As C
2 1 1 1
direct
0.000 0.500 0.000
0.500 0.000 0.000
0.000 0.000 0.500
0.000 0.000 0.000
0.500 0.500 0.500
```

=====

A relaxed structure of Hf7Pt2C2, computed with PBE.

The structure in POSCAR format:
```
Hf7Pt2C2
1.0
3.529 -5.137 0.000
3.529 5.137 0.000
-1.105 0.000 6.491
Hf Pt C
7 2 2
direct
0.000 0.000 0.000
0.075 0.485 0.791
0.419 0.419 0.215
0.485 0.075 0.791
0.515 0.925 0.209
0.581 0.581 0.785
0.925 0.515 0.209
0.298 0.702 0.500
0.702 0.298 0.500
0.288 0.288 0.876
0.712 0.712 0.124
```

=====

La2ScTa2, relaxed, DFT PBE; polymorph energy (0 for the lowest one) = 0.28 eV per formula unit
1.0
9.159 0.000 0.000
0.000 9.159 0.000
0.000 0.000 3.152
La Sc Ta
4 2 4
direct
0.195 0.305 0.000
0.305 0.805 0.000
0.695 0.195 0.000
0.805 0.695 0.000
0.000 0.000 0.000
0.500 0.500 0.000
0.103 0.603 0.500
0.397 0.103 0.500
0.603 0.897 0.500
0.897 0.397 0.500

=====

A relaxed structure of Pu4Rh2Pb, computed with PBE.

The structure in POSCAR format:
```
Pu4Rh2Pb
1.0
2.468 1.425 7.301
-2.468 1.425 7.301
0.000 -2.850 7.301
Pu Rh Pb
4 2 1
direct
0.069 0.069 0.069
0.238 0.238 0.238
0.762 0.762 0.762
0.931 0.931 0.931
0.363 0.363 0.363
0.637 0.637 0.637
0.500 0.500 0.500
```

=====

AgRuAu3, relaxed, DFT PBE; polymorph energy (0 for the lowest one) = 0.00 eV per formula unit
1.0
5.031 0.000 0.000
0.000 5.031 0.000
0.000 0.000 5.031
Ag Ru Au
1 1 3
direct
0.000 0.000 0.000
0.500 0.500 0.500
0.000 0.500 0.500
0.500 0.000 0.500
0.500 0.500 0.000

=====

A relaxed structure of Y3Ni2Pd, computed with PBE.

The structure in POSCAR format:
```
Y3Ni2Pd
1.0
11.526 0.000 0.000
0.000 4.002 0.000
0.000 0.000 11.377
Y Ni Pd
12 8 4
direct
0.055 0.250 0.123
0.123 0.750 0.567
0.203 0.250 0.817
0.297 0.750 0.317
0.377 0.250 0.067
0.445 0.750 0.623
0.555 0.250 0.377
0.623 0.750 0.933
0.703 0.250 0.683
0.797 0.750 0.183
0.877 0.250 0.433
0.945 0.750 0.877
0.007 0.750 0.304
0.182 0.750 0.999
0.318 0.250 0.499
0.493 0.250 0.804
0.507 0.750 0.196
0.682 0.750 0.501
0.818 0.250 0.001
0.993 0.250 0.696
0.125 0.250 0.376
0.375 0.750 0.876
0.625 0.250 0.124
0.875 0.750 0.624
```

=====

Cs2P3Se6, relaxed, DFT PBE; formation energy from raw total energies = -523 meV/atom
1.0
11.060 0.000 0.000
0.000 10.912 0.000
-9.027 0.000 12.926
Cs P Se
8 12 24
direct
0.161 0.004 0.179
0.161 0.496 0.679
0.254 0.504 0.243
0.254 0.996 0.743
0.746 0.004 0.257
0.746 0.496 0.757
0.839 0.504 0.321
0.839 0.996 0.821
0.144 0.700 0.947
0.144 0.800 0.447
0.353 0.684 0.553
0.353 0.816 0.053
0.497 0.550 0.061
0.497 0.950 0.561
0.503 0.050 0.439
0.503 0.450 0.939
0.647 0.184 0.947
0.647 0.316 0.447
0.856 0.200 0.553
0.856 0.300 0.053
0.004 0.715 0.002
0.004 0.785 0.502
0.040 0.740 0.785
0.040 0.760 0.285
0.250 0.504 0.989
0.250 0.996 0.489
0.301 0.005 0.006
0.301 0.495 0.506
0.456 0.733 0.712
0.456 0.767 0.212
0.487 0.740 0.993
0.487 0.760 0.493
0.513 0.240 0.507
0.513 0.260 0.007
0.544 0.233 0.788
0.544 0.267 0.288
0.699 0.505 0.494
0.699 0.995 0.994
0.750 0.004 0.511
0.750 0.496 0.011
0.960 0.240 0.715
0.960 0.260 0.215
0.996 0.215 0.498
0.996 0.285 0.998

=====

HfGa2Tc, relaxed, DFT PBE; polymorph energy (0 for the lowest one) = 0.00 eV per formula unit
1.0
4.484 0.000 0.000
0.000 5.994 0.000
-1.672 0.000 5.020
Hf Ga Tc
2 4 2
direct
0.042 0.250 0.147
0.958 0.750 0.853
0.428 0.041 0.735
0.428 0.459 0.735
0.572 0.541 0.265
0.572 0.959 0.265
0.108 0.750 0.389
0.892 0.250 0.611

=====

A relaxed structure of Y2FePb, computed with PBE.

The structure in POSCAR format:
```
Y2FePb
1.0
4.408 0.000 0.000
0.000 4.408 0.000
0.000 0.000 10.175
Y Fe Pb
4 2 2
direct
0.000 0.000 0.000
0.000 0.500 0.250
0.500 0.000 0.750
0.500 0.500 0.500
0.000 0.500 0.750
0.500 0.000 0.250
0.000 0.000 0.500
0.500 0.500 0.000
```

=====

Number 1: E_tot -19.00 eV/cell. Number 2: E_tot -50.24 eV/cell. Number 3: E_tot -121.20 eV/cell. Number 4: E_tot -19.00 eV/cell. Number 5: E_tot -93.59 eV/cell. Number 6: E_tot -57.93 eV/cell. Number 7: E_tot -63.33 eV/cell. Number 8: E_tot -47.65 eV/cell. Number 9: E_tot -71.12 eV/cell. Number 10: E_tot -30.30 eV/cell. Number 11: E_tot -32.26 eV/cell. Number 12: E_tot -13.86 eV/cell. Number 13: E_tot -102.71 eV/cell. Number 14: E_tot -72.85 eV/cell. Number 15: E_tot -77.04 eV/cell. Number 16: E_tot -16.59 eV/cell. Number 17: E_tot -156.24 eV/cell. Number 18: E_tot -178.38 eV/cell. Number 19: E_tot -55.55 eV/cell. Number 20: E_tot -50.22 eV/cell.